## NaThTcO6 (GGA-PBE)

Data for a relaxed structure of NaThTcO6.

a b c (Å): 5.077 5.077 10.113
angles (deg): 90.00 90.00 90.00
Space group P4_2nm (No. 102)
Inequivalent atoms, fractional coordinates:
Na 0.000 0.000 0.000
Th 0.000 0.000 0.661
Tc 0.000 0.000 0.330
O 0.178 0.178 0.467
O 0.189 0.189 0.192
O 0.238 0.238 0.819

Calculated values
- formation energy without anion corrections (eV per atom) = -2.1030
- M_tot (μB/cell) = 0.000